A relaxed structure of DySc2WO8. Source: Alexandria, functional GGA+U.

abc: 4.863 4.863 6.593
angles: 90.00 90.00 90.35
Atoms (fractional coordinates):
Dy (0.000, 0.000, 0.000)
Sc (0.500, 0.500, 0.251)
Sc (0.500, 0.500, 0.749)
W (0.000, 0.000, 0.500)
O (0.193, 0.807, 0.285)
O (0.193, 0.807, 0.715)
O (0.287, 0.287, 0.500)
O (0.319, 0.319, 0.000)
O (0.681, 0.681, 0.000)
O (0.713, 0.713, 0.500)
O (0.807, 0.193, 0.285)
O (0.807, 0.193, 0.715)

Values from the calculation:
The total DFT energy (no corrections) comes out at -8.170 eV/atom.